1.
This record from Alexandria via LeMat-Bulk describes Pm3Tm2In7 after structural relaxation. The functional is GGA-PBE.

Geometry as POSCAR:
```
Pm3Tm2In7
1.0
4.865 0.000 0.000
0.000 4.842 0.000
0.000 -2.421 14.811
Pm Tm In
3 2 7
direct
0.500 0.500 0.000
0.500 0.651 0.302
0.500 0.349 0.698
0.000 0.843 0.687
0.000 0.157 0.313
0.000 0.422 0.843
0.000 0.726 0.453
0.000 0.000 0.000
0.000 0.578 0.157
0.500 0.079 0.159
0.500 0.921 0.841
0.000 0.274 0.547
```

Output
Energy (eV for the cell shown): -45.2
Energy of formation from the pure elements (eV/f.u.): -2.886

2.
This record from Alexandria via LeMat-Bulk describes Pm6TmIn2 after structural relaxation. The functional is GGA-PBE.

Geometry as POSCAR:
```
Pm6TmIn2
1.0
3.457 0.002 0.002
1.739 9.415 2.500
1.739 2.911 9.296
Pm Tm In
6 1 2
direct
0.330 0.984 0.355
0.670 0.016 0.645
0.670 0.645 0.016
0.500 0.336 0.664
0.500 0.664 0.336
0.330 0.355 0.984
0.000 0.000 0.000
0.156 0.347 0.347
0.844 0.653 0.653
```

Output
Energy (eV for the cell shown): -39.1
Relative energy among the computed polymorphs (eV/f.u.): 1.27
Energy of formation from the pure elements (eV/f.u.): -0.665

3.
This record from Alexandria via LeMat-Bulk describes Pm4TmIn after structural relaxation. The functional is GGA-PBE.

Geometry as POSCAR:
```
Pm4TmIn
1.0
6.448 -0.714 0.000
-2.558 8.691 0.000
-1.945 -3.989 7.186
Pm Tm In
8 2 2
direct
0.045 0.167 0.761
0.757 0.713 0.620
0.216 0.594 0.761
0.363 0.907 0.620
0.637 0.093 0.380
0.784 0.406 0.239
0.243 0.287 0.380
0.955 0.833 0.239
0.338 0.588 0.176
0.662 0.412 0.824
0.250 0.000 0.001
0.750 0.000 0.999
```

Output
Energy (eV for the cell shown): -53.1
Energy of formation from the pure elements (eV/f.u.): -0.357